No. 1
Here is YTiSb2I after structural relaxation from Alexandria. Energies are from PBE.

The structure in CIF format:
```
data_YTiSb2I
_chemical_formula_sum 'Y1 Ti1 Sb2 I1'
_cell_length_a 5.153
_cell_length_b 5.153
_cell_length_c 5.977
_cell_angle_alpha 90.00
_cell_angle_beta 90.00
_cell_angle_gamma 90.00
_space_group_name_H-M_alt 'P 1'
_space_group_IT_number 1
_space_group_name_Hall 'P 1'
loop_
_atom_site_label
_atom_site_type_symbol
_atom_site_fract_x
_atom_site_fract_y
_atom_site_fract_z
_atom_site_occupancy
Y1 Y 0.000 0.000 0.000 1
Ti1 Ti 0.000 0.000 0.500 1
Sb1 Sb 0.000 0.500 0.500 1
Sb2 Sb 0.500 0.000 0.500 1
I1 I 0.500 0.500 0.000 1
```

Computed properties:
**Symmetry**: No. 123
**ρ**: 5.31 Mg/m³
**Offset from the most stable computed form**: 0.0 meV per atom
**Raw total energy**: -4.94 eV/atom



No. 2
Here is YTiSb2I after structural relaxation from Alexandria. Energies are from PBE.

The structure in CIF format:
```
data_YTiSb2I
_chemical_formula_sum 'Y1 Ti1 Sb2 I1'
_cell_length_a 5.299
_cell_length_b 5.299
_cell_length_c 5.440
_cell_angle_alpha 90.00
_cell_angle_beta 90.00
_cell_angle_gamma 90.00
_space_group_name_H-M_alt 'P 1'
_space_group_IT_number 1
_space_group_name_Hall 'P 1'
loop_
_atom_site_label
_atom_site_type_symbol
_atom_site_fract_x
_atom_site_fract_y
_atom_site_fract_z
_atom_site_occupancy
Y1 Y 0.000 0.000 0.000 1
Ti1 Ti 0.500 0.500 0.500 1
Sb1 Sb 0.000 0.500 0.500 1
Sb2 Sb 0.500 0.000 0.500 1
I1 I 0.500 0.500 0.000 1
```

Computed properties:
**Symmetry**: No. 123
**ρ**: 5.51 Mg/m³
**Offset from the most stable computed form**: 18.4 meV per atom
**Raw total energy**: -4.92 eV/atom



No. 3
Here is YTiSb2I after structural relaxation from Alexandria. Energies are from PBE.

The structure in CIF format:
```
data_YTiSb2I
_chemical_formula_sum 'Y1 Ti1 Sb2 I1'
_cell_length_a 5.794
_cell_length_b 5.794
_cell_length_c 5.796
_cell_angle_alpha 90.00
_cell_angle_beta 90.00
_cell_angle_gamma 90.00
_space_group_name_H-M_alt 'P 1'
_space_group_IT_number 1
_space_group_name_Hall 'P 1'
loop_
_atom_site_label
_atom_site_type_symbol
_atom_site_fract_x
_atom_site_fract_y
_atom_site_fract_z
_atom_site_occupancy
Y1 Y 0.000 0.000 0.000 1
Ti1 Ti 0.500 0.500 0.500 1
Sb1 Sb 0.000 0.500 0.000 1
Sb2 Sb 0.500 0.000 0.000 1
I1 I 0.000 0.000 0.500 1
```

Computed properties:
**Symmetry**: No. 123
**ρ**: 4.33 Mg/m³
**Offset from the most stable computed form**: 688.0 meV per atom
**Raw total energy**: -4.25 eV/atom



No. 4
Here is TiZnSbI2 after structural relaxation from Alexandria. Energies are from PBE.

The structure in CIF format:
```
data_TiZnSbI2
_chemical_formula_sum 'Ti1 Zn1 Sb1 I2'
_cell_length_a 5.493
_cell_length_b 5.493
_cell_length_c 5.480
_cell_angle_alpha 90.00
_cell_angle_beta 90.00
_cell_angle_gamma 90.00
_space_group_name_H-M_alt 'P 1'
_space_group_IT_number 1
_space_group_name_Hall 'P 1'
loop_
_atom_site_label
_atom_site_type_symbol
_atom_site_fract_x
_atom_site_fract_y
_atom_site_fract_z
_atom_site_occupancy
Ti1 Ti 0.000 0.000 0.000 1
Zn1 Zn 0.500 0.500 0.500 1
Sb1 Sb 0.000 0.000 0.500 1
I1 I 0.000 0.500 0.000 1
I2 I 0.500 0.000 0.000 1
```

Computed properties:
**Symmetry**: No. 123
**ρ**: 4.91 Mg/m³
**Offset from the most stable computed form**: 0.0 meV per atom
**Raw total energy**: -3.21 eV/atom



No. 5
Here is TiZnSbI2 after structural relaxation from Alexandria. Energies are from PBE.

The structure in CIF format:
```
data_TiZnSbI2
_chemical_formula_sum 'Ti1 Zn1 Sb1 I2'
_cell_length_a 5.422
_cell_length_b 5.422
_cell_length_c 5.335
_cell_angle_alpha 90.00
_cell_angle_beta 90.00
_cell_angle_gamma 90.00
_space_group_name_H-M_alt 'P 1'
_space_group_IT_number 1
_space_group_name_Hall 'P 1'
loop_
_atom_site_label
_atom_site_type_symbol
_atom_site_fract_x
_atom_site_fract_y
_atom_site_fract_z
_atom_site_occupancy
Ti1 Ti 0.000 0.000 0.000 1
Zn1 Zn 0.500 0.500 0.500 1
Sb1 Sb 0.500 0.500 0.000 1
I1 I 0.000 0.500 0.500 1
I2 I 0.500 0.000 0.500 1
```

Computed properties:
**Symmetry**: No. 123
**ρ**: 5.18 Mg/m³
**Offset from the most stable computed form**: 629.4 meV per atom
**Raw total energy**: -2.58 eV/atom



No. 6
Here is ZrTiSb2I after structural relaxation from Alexandria. Energies are from PBE.

The structure in CIF format:
```
data_ZrTiSb2I
_chemical_formula_sum 'Zr1 Ti1 Sb2 I1'
_cell_length_a 5.248
_cell_length_b 5.248
_cell_length_c 5.390
_cell_angle_alpha 90.00
_cell_angle_beta 90.00
_cell_angle_gamma 90.00
_space_group_name_H-M_alt 'P 1'
_space_group_IT_number 1
_space_group_name_Hall 'P 1'
loop_
_atom_site_label
_atom_site_type_symbol
_atom_site_fract_x
_atom_site_fract_y
_atom_site_fract_z
_atom_site_occupancy
Zr1 Zr 0.000 0.000 0.000 1
Ti1 Ti 0.500 0.500 0.500 1
Sb1 Sb 0.000 0.500 0.500 1
Sb2 Sb 0.500 0.000 0.500 1
I1 I 0.500 0.500 0.000 1
```

Computed properties:
**Symmetry**: No. 123
**ρ**: 5.70 Mg/m³
**Offset from the most stable computed form**: 0.0 meV per atom
**Raw total energy**: -4.81 eV/atom



No. 7
Here is Tl3SbI7 after structural relaxation from Alexandria. Energies are from PBE.

The structure in CIF format:
```
data_Tl3SbI7
_chemical_formula_sum 'Tl6 Sb2 I14'
_cell_length_a 9.642
_cell_length_b 9.642
_cell_length_c 11.695
_cell_angle_alpha 90.00
_cell_angle_beta 90.00
_cell_angle_gamma 110.08
_space_group_name_H-M_alt 'P 1'
_space_group_IT_number 1
_space_group_name_Hall 'P 1'
loop_
_atom_site_label
_atom_site_type_symbol
_atom_site_fract_x
_atom_site_fract_y
_atom_site_fract_z
_atom_site_occupancy
Tl1 Tl 0.006 0.006 0.000 1
Tl2 Tl 0.042 0.491 0.252 1
Tl3 Tl 0.491 0.042 0.748 1
Tl4 Tl 0.509 0.958 0.248 1
Tl5 Tl 0.958 0.509 0.752 1
Tl6 Tl 0.994 0.994 0.500 1
Sb1 Sb 0.500 0.500 0.000 1
Sb2 Sb 0.500 0.500 0.500 1
I1 I 0.134 0.866 0.750 1
I2 I 0.144 0.856 0.250 1
I3 I 0.172 0.433 0.969 1
I4 I 0.174 0.434 0.533 1
I5 I 0.433 0.172 0.031 1
I6 I 0.434 0.174 0.467 1
I7 I 0.447 0.553 0.250 1
I8 I 0.553 0.447 0.750 1
I9 I 0.566 0.826 0.967 1
I10 I 0.567 0.828 0.531 1
I11 I 0.826 0.566 0.033 1
I12 I 0.828 0.567 0.469 1
I13 I 0.856 0.144 0.750 1
I14 I 0.866 0.134 0.250 1
```

Computed properties:
**Symmetry**: No. 20
**ρ**: 5.28 Mg/m³
**Raw total energy**: -2.42 eV/atom



No. 8
Here is Tl2Sb2I after structural relaxation from Alexandria. Energies are from PBE.

The structure in CIF format:
```
data_Tl2Sb2I
_chemical_formula_sum 'Tl4 Sb4 I2'
_cell_length_a 4.299
_cell_length_b 4.299
_cell_length_c 19.766
_cell_angle_alpha 90.00
_cell_angle_beta 90.00
_cell_angle_gamma 90.00
_space_group_name_H-M_alt 'P 1'
_space_group_IT_number 1
_space_group_name_Hall 'P 1'
loop_
_atom_site_label
_atom_site_type_symbol
_atom_site_fract_x
_atom_site_fract_y
_atom_site_fract_z
_atom_site_occupancy
Tl1 Tl 0.000 0.000 0.101 1
Tl2 Tl 0.000 0.000 0.899 1
Tl3 Tl 0.500 0.500 0.399 1
Tl4 Tl 0.500 0.500 0.601 1
Sb1 Sb 0.000 0.500 0.250 1
Sb2 Sb 0.000 0.500 0.750 1
Sb3 Sb 0.500 0.000 0.250 1
Sb4 Sb 0.500 0.000 0.750 1
I1 I 0.000 0.000 0.500 1
I2 I 0.500 0.500 0.000 1
```

Computed properties:
**Symmetry**: No. 139
**ρ**: 7.08 Mg/m³
**Offset from the most stable computed form**: 0.0 meV per atom
**Raw total energy**: -3.09 eV/atom



We obtain uncorrected formation energy values of -108 -89 580 70 700 437 -411 -188 meV/atom for the records listed above, in that order.
We obtain spin magnetization values of 0.0 0.0 0.0 0.0 0.2 1.7 0.0 0.0 μB/f.u. for the records listed above, in that order.